Here is a relaxed structure of Ti8Al3Si2 from Alexandria via LeMat-Bulk. Energies are from PBE.

a b c (Å): 4.948 7.547 7.257
angles (deg): 121.33 76.78 90.00
Fractional coordinates of all 13 atoms:
Ti (0.958, 0.611, 0.223)
Ti (0.042, 0.389, 0.777)
Ti (0.973, 0.188, 0.377)
Ti (0.027, 0.812, 0.623)
Ti (0.564, 0.566, 0.748)
Ti (0.564, 0.182, 0.748)
Ti (0.436, 0.818, 0.252)
Ti (0.436, 0.434, 0.252)
Al (0.500, 0.000, 0.000)
Al (0.000, 0.190, 0.000)
Al (0.000, 0.810, 0.000)
Si (0.456, 0.216, 0.432)
Si (0.544, 0.784, 0.568)

total magnetic moment: 0.00 Bohr magnetons per cell
VASP energy: -87.4 eV for the cell shown
energy relative to the elements, uncorrected: -0.17 eV per atom
N(E_F): 12.5 states/eV/f.u.
space group: C2/m (12)